Density functional theory data (GGA-PBE) for a relaxed CaSb2Te crystal.

Results
Total DFT energy (no corrections) ... -0.137 Ha/atom
Formation energy from raw total energies ... -0.38 eV/atom
Space-group type ... P4/mmm, No. 123

Cell lengths 4.4634, 4.4634, 6.0758 Å; angles 90.00, 90.00, 90.00 degrees
With the nearest neighbours (Å) after each atom.
Fractional coordinates of all 4 atoms:
Ca 0.0000 0.0000 0.0000  2 Te 3.04
Sb 0.5000 0.5000 0.2347  1 Sb 2.85
Sb 0.5000 0.5000 0.7653  1 Sb 2.85
Te 0.0000 0.0000 0.5000  2 Ca 3.04

---

Density functional theory data (GGA-PBE) for a relaxed CaSbTe2 crystal.

Results
Total DFT energy (no corrections) ... -0.134 Ha/atom
Formation energy from raw total energies ... -0.55 eV/atom
Space-group type ... R3m, No. 160

Cell lengths 7.8851, 7.8851, 7.8851 Å; angles 33.74, 33.74, 33.74 degrees
With the nearest neighbours (Å) after each atom.
Fractional coordinates of all 4 atoms:
Ca 0.0000 0.0000 0.0000  6 Te 3.27-3.32
Sb 0.1658 0.1658 0.1658  6 Te 3.14-3.20
Te 0.5804 0.5804 0.5804  3 Sb 3.20, 3 Ca 3.27
Te 0.7565 0.7565 0.7565  3 Sb 3.14, 3 Ca 3.32

---

Density functional theory data (GGA-PBE) for a relaxed CaSbTe crystal.

Results
Total DFT energy (no corrections) ... -0.139 Ha/atom
Formation energy from raw total energies ... -0.70 eV/atom
Space-group type ... Imm2, No. 44

Cell lengths 6.3501, 6.3501, 6.3501 Å; angles 142.94, 140.80, 55.04 degrees
With the nearest neighbours (Å) after each atom.
Fractional coordinates of all 3 atoms:
Ca 0.0000 0.0000 0.0000  4 Te 3.22, 4 Sb 3.32
Sb 0.3624 0.3624 0.0000  1 Te 2.89
Te 0.6187 0.6187 0.0000  1 Sb 2.89, 4 Ca 3.22

---

Density functional theory data (GGA-PBE) for a relaxed CaSbTe2 crystal.

Results
Total DFT energy (no corrections) ... -0.131 Ha/atom
Formation energy from raw total energies ... -0.47 eV/atom
Space-group type ... Immm, No. 71

Cell lengths 7.1400, 7.1400, 7.1400 Å; angles 144.75, 140.97, 53.60 degrees
With the nearest neighbours (Å) after each atom.
Fractional coordinates of all 4 atoms:
Ca 0.0000 0.0000 0.0000  4 Sb 3.22, 2 Te 3.30
Sb 0.5000 0.5000 0.0000  2 Te 3.07, 4 Ca 3.22
Te 0.2590 0.2590 0.0000  1 Sb 3.07, 4 Te 3.23, 1 Ca 3.30
Te 0.7410 0.7410 0.0000  1 Sb 3.07, 4 Te 3.23, 1 Ca 3.30

---

Density functional theory data (GGA-PBE) for a relaxed CaSbTe2 crystal.

Results
Total DFT energy (no corrections) ... -0.132 Ha/atom
Formation energy from raw total energies ... -0.49 eV/atom
Space-group type ... I-42d, No. 122

Cell lengths 9.5341, 9.5341, 9.5341 Å; angles 140.97, 140.97, 56.38 degrees
With the nearest neighbours (Å) after each atom.
Fractional coordinates of all 8 atoms:
Ca 0.0000 0.0000 0.0000  4 Te 3.13
Ca 0.7500 0.2500 0.5000  4 Te 3.13
Sb 0.2500 0.7500 0.5000  4 Te 3.03
Sb 0.5000 0.5000 0.0000  4 Te 3.03
Te 0.1400 0.6250 0.0150  2 Sb 3.03, 2 Ca 3.13
Te 0.3750 0.3900 0.5150  2 Sb 3.03, 2 Ca 3.13
Te 0.6100 0.1250 0.9850  2 Sb 3.03, 2 Ca 3.13
Te 0.8750 0.8600 0.4850  2 Sb 3.03, 2 Ca 3.13

---

Density functional theory data (GGA-PBE) for a relaxed Ca2SbTe crystal.

Results
Total DFT energy (no corrections) ... -0.142 Ha/atom
Offset from the most stable computed form ... 128 meV/atom
Formation energy from raw total energies ... -1.03 eV/atom
Space-group type ... P4/mmm, No. 123

Cell lengths 5.7175, 5.7175, 3.6219 Å; angles 90.00, 90.00, 90.00 degrees
With the nearest neighbours (Å) after each atom.
Fractional coordinates of all 4 atoms:
Ca 0.0000 0.5000 0.0000  4 Sb 3.38, 4 Te 3.38, 2 Ca 3.62
Ca 0.5000 0.0000 0.0000  4 Sb 3.38, 4 Te 3.38, 2 Ca 3.62
Sb 0.0000 0.0000 0.5000  8 Ca 3.38, 2 Sb 3.62
Te 0.5000 0.5000 0.5000  8 Ca 3.38, 2 Te 3.62

---

- What is the formula in the fourth record?
  CaSbTe2

---

Please write out number 4 again, unchanged.
Density functional theory data (GGA-PBE) for a relaxed CaSbTe2 crystal.

Results
Total DFT energy (no corrections) ... -0.131 Ha/atom
Formation energy from raw total energies ... -0.47 eV/atom
Space-group type ... Immm, No. 71

Cell lengths 7.1400, 7.1400, 7.1400 Å; angles 144.75, 140.97, 53.60 degrees
With the nearest neighbours (Å) after each atom.
Fractional coordinates of all 4 atoms:
Ca 0.0000 0.0000 0.0000  4 Sb 3.22, 2 Te 3.30
Sb 0.5000 0.5000 0.0000  2 Te 3.07, 4 Ca 3.22
Te 0.2590 0.2590 0.0000  1 Sb 3.07, 4 Te 3.23, 1 Ca 3.30
Te 0.7410 0.7410 0.0000  1 Sb 3.07, 4 Te 3.23, 1 Ca 3.30

---

- Among the records above, which one has the highest formation energy from raw total energies?
  CaSb2Te

---

- Which of these has the highest formation energy from raw total energies?
  CaSb2Te